CaY2Ni | PBE-GGA | relaxed

Cell lengths 9.6465, 9.6465, 9.6465 Å; angles 23.56, 23.56, 23.56 degrees
With the nearest neighbours (Å) after each atom.
Atoms (fractional coordinates):
Y 0.0308 0.0308 0.0308  3 Ni 2.71
Ca 0.2500 0.2500 0.2500  6 Y 3.93, 6 Ca 3.94
Ni 0.7500 0.7500 0.7500  6 Y 2.71
Y 0.4692 0.4692 0.4692  3 Ni 2.71

Calculated values
The energy relative to the lowest polymorph listed for this composition comes out at 28 meV/atom. Its formation energy from the elements is -0.439 eV/f.u. The crystal system is trigonal.

---

CdAsRh2 | PBE-GGA | relaxed

Cell lengths 3.3145, 3.3145, 6.1865 Å; angles 90.00, 90.00, 90.00 degrees
With the nearest neighbours (Å) after each atom.
Atoms (fractional coordinates):
As 0.0000 0.0000 0.4278  5 Rh 2.51-2.53
Rh 0.0000 0.0000 0.0187  1 As 2.53, 4 Cd 2.80
Rh 0.5000 0.5000 0.2825  4 As 2.51
Cd 0.5000 0.5000 0.7711  5 Rh 2.80-3.02

Calculated values
The energy relative to the lowest polymorph listed for this composition comes out at 176 meV/atom. Its formation energy from the elements is -0.348 eV/f.u. The crystal system is tetragonal.

---

Ac12Co5Ni3 | PBE-GGA | relaxed

Cell lengths 14.9397, 14.9397, 14.9397 Å; angles 109.47, 109.47, 109.47 degrees
With the nearest neighbours (Å) after each atom.
Atoms (fractional coordinates):
Ni 0.7500 0.8750 0.6250  8 Ac 3.28-3.32
Co 0.0000 0.5000 0.0000  6 Ac 2.86
Ni 0.3750 0.7500 0.6250  8 Ac 3.28-3.32
Co 0.6250 0.8750 0.2500  4 Ac 2.62
Co 0.0000 0.0000 0.5000  6 Ac 2.86
Ac 0.1258 0.4123 0.0906  2 Co 2.62-2.86
Co 0.5000 0.5000 0.0000  6 Ac 2.86
Ac 0.8217 0.9094 0.0352  2 Co 2.62-2.86
Ac 0.0352 0.4094 0.8217  2 Co 2.62-2.86
Ac 0.0906 0.1783 0.4648  2 Co 2.62-2.86
Ac 0.9094 0.0877 0.8742  2 Co 2.62-2.86
Ni 0.7500 0.3750 0.1250  8 Ac 3.28-3.32
Ac 0.0906 0.9123 0.1258  2 Co 2.62-2.86
Ac 0.3217 0.7865 0.4123  2 Co 2.62-2.86
Co 0.8750 0.6250 0.7500  4 Ac 2.62
Ac 0.4123 0.1258 0.5906  2 Co 2.62-2.86
Ac 0.8742 0.5877 0.9094  2 Co 2.62-2.86
Ac 0.9648 0.5906 0.1783  2 Co 2.62-2.86
Ac 0.7865 0.4648 0.3742  2 Co 2.62-2.86
Ac 0.1258 0.7135 0.5352  2 Co 2.62-2.86
Ni 0.6250 0.2500 0.3750  8 Ac 3.28-3.32
Co 0.7500 0.1250 0.8750  4 Ac 2.62
Ni 0.8750 0.7500 0.1250  8 Ac 3.28-3.32
Ac 0.6783 0.4648 0.5906  2 Co 2.62-2.86
Ac 0.9123 0.0906 0.6258  2 Co 2.62-2.86
Ac 0.5352 0.2135 0.1258  2 Co 2.62-2.86
Ac 0.6258 0.5906 0.9123  2 Co 2.62-2.86
Ac 0.5906 0.9648 0.6783  2 Co 2.62-2.86
Co 0.1250 0.7500 0.3750  4 Ac 2.62
Co 0.5000 0.0000 0.5000  6 Ac 2.86
Co 0.7500 0.6250 0.3750  4 Ac 2.62
Ac 0.6783 0.2135 0.5877  2 Co 2.62-2.86
Ac 0.4648 0.7865 0.8742  2 Co 2.62-2.86
Ac 0.4094 0.0352 0.3217  2 Co 2.62-2.86
Co 0.2500 0.8750 0.1250  4 Ac 2.62
Ac 0.2865 0.4123 0.8217  2 Co 2.62-2.86
Ac 0.3217 0.5352 0.4094  2 Co 2.62-2.86
Ni 0.2500 0.6250 0.8750  8 Ac 3.28-3.32
Ac 0.5352 0.3217 0.9094  2 Co 2.62-2.86
Ac 0.4094 0.3742 0.5877  2 Co 2.62-2.86
Ni 0.3750 0.6250 0.2500  8 Ac 3.28-3.32
Ac 0.3742 0.4094 0.0877  2 Co 2.62-2.86
Ni 0.8750 0.1250 0.2500  8 Ac 3.28-3.32
Ni 0.2500 0.1250 0.3750  8 Ac 3.28-3.32
Ac 0.8742 0.2865 0.4648  2 Co 2.62-2.86
Ac 0.6258 0.0352 0.2135  2 Co 2.62-2.86
Ac 0.7865 0.3217 0.9123  2 Co 2.62-2.86
Ac 0.5877 0.7135 0.6783  2 Co 2.62-2.86
Ac 0.8217 0.9123 0.2865  2 Co 2.62-2.86
Ni 0.6250 0.3750 0.7500  8 Ac 3.28-3.32
Ac 0.1783 0.0877 0.7135  2 Co 2.62-2.86
Co 0.0000 0.0000 0.0000  6 Ac 2.86
Co 0.0000 0.5000 0.5000  6 Ac 2.86
Ac 0.0877 0.9094 0.3742  2 Co 2.62-2.86
Co 0.3750 0.1250 0.7500  4 Ac 2.62
Ac 0.0877 0.1783 0.2135  2 Co 2.62-2.86
Co 0.2500 0.3750 0.6250  4 Ac 2.62
Ac 0.7135 0.5877 0.1783  2 Co 2.62-2.86
Ac 0.1783 0.0906 0.9648  2 Co 2.62-2.86
Ac 0.2865 0.8742 0.9648  2 Co 2.62-2.86
Co 0.3750 0.2500 0.1250  4 Ac 2.62
Ac 0.2135 0.6783 0.0877  2 Co 2.62-2.86
Ni 0.1250 0.2500 0.8750  8 Ac 3.28-3.32
Ac 0.9648 0.3742 0.2865  2 Co 2.62-2.86
Ac 0.3742 0.9648 0.7865  2 Co 2.62-2.86
Ac 0.9094 0.8217 0.5352  2 Co 2.62-2.86
Co 0.6250 0.7500 0.8750  4 Ac 2.62
Ac 0.9123 0.8217 0.7865  2 Co 2.62-2.86
Co 0.8750 0.2500 0.6250  4 Ac 2.62
Co 0.5000 0.0000 0.0000  6 Ac 2.86
Ac 0.5906 0.6258 0.4123  2 Co 2.62-2.86
Ac 0.4123 0.2865 0.3217  2 Co 2.62-2.86
Ac 0.2135 0.5352 0.6258  2 Co 2.62-2.86
Ac 0.7135 0.1258 0.0352  2 Co 2.62-2.86
Co 0.5000 0.5000 0.5000  6 Ac 2.86
Ac 0.4648 0.6783 0.0906  2 Co 2.62-2.86
Co 0.1250 0.3750 0.2500  4 Ac 2.62
Ac 0.5877 0.8742 0.4094  2 Co 2.62-2.86
Ni 0.1250 0.8750 0.7500  8 Ac 3.28-3.32
Ac 0.0352 0.6258 0.7135  2 Co 2.62-2.86

Calculated values
Its formation energy from the elements is 3.008 eV/f.u. The crystal system is cubic.

---

ErTm4Si4 | PBE-GGA | relaxed

Cell lengths 5.6687, 8.9096, 8.9096 Å; angles 90.00, 90.00, 90.00 degrees
With the nearest neighbours (Å) after each atom.
Atoms (fractional coordinates):
Si 0.3777 0.3594 0.2230  1 Si 2.48
Si 0.8777 0.7230 0.1406  1 Si 2.48
Er 0.0000 0.0000 0.0000  4 Si 2.85
Tm 0.6228 0.0968 0.3346  5 Si 2.86-2.95
Si 0.6223 0.2230 0.6406  1 Si 2.48
Tm 0.3772 0.3346 0.9032  5 Si 2.86-2.95
Tm 0.3772 0.6654 0.0968  5 Si 2.86-2.95
Tm 0.8772 0.5968 0.8346  5 Si 2.86-2.95
Si 0.8777 0.2770 0.8594  1 Si 2.48
Si 0.3777 0.6406 0.7770  1 Si 2.48
Tm 0.6228 0.9032 0.6654  5 Si 2.86-2.95
Si 0.1223 0.8594 0.7230  1 Si 2.48
Tm 0.1228 0.1654 0.5968  5 Si 2.86-2.95
Si 0.6223 0.7770 0.3594  1 Si 2.48
Tm 0.8772 0.4032 0.1654  5 Si 2.86-2.95
Tm 0.1228 0.8346 0.4032  5 Si 2.86-2.95
Er 0.5000 0.5000 0.5000  4 Si 2.85
Si 0.1223 0.1406 0.2770  1 Si 2.48

Calculated values
The calculation puts the formation energy (no corrections) at -4.243 eV per formula unit. The crystal system is tetragonal.

---

ThGaH | PBE-GGA | relaxed

Cell lengths 4.2741, 4.2741, 4.5464 Å; angles 118.04, 118.04, 90.00 degrees
With the nearest neighbours (Å) after each atom.
Atoms (fractional coordinates):
H 0.9209 0.9209 0.8419  1 Ga 1.66
Th 0.2530 0.2530 0.5061  1 H 2.26
Ga 0.6760 0.6760 0.3520  1 H 1.66

Calculated values
The energy relative to the lowest polymorph listed for this composition comes out at 597 meV/atom. The crystal system is tetragonal.

---

Zn2MoOs | PBE-GGA | relaxed

Cell lengths 4.3293, 4.3293, 3.0531 Å; angles 90.00, 90.00, 90.00 degrees
With the nearest neighbours (Å) after each atom.
Atoms (fractional coordinates):
Os 0.0000 0.5000 0.5000  8 Zn 2.65
Mo 0.5000 0.0000 0.5000  8 Zn 2.65
Zn 0.5000 0.5000 0.0000  4 Mo 2.65, 4 Os 2.65
Zn 0.0000 0.0000 0.0000  4 Mo 2.65, 4 Os 2.65

Calculated values
The energy relative to the lowest polymorph listed for this composition comes out at 393 meV/atom. Its formation energy from the elements is 1.760 eV/f.u. The crystal system is tetragonal.

---

Ac6Zn2N | PBE-GGA | relaxed

Cell lengths 7.0830, 7.8340, 10.9313 Å; angles 90.00, 89.20, 90.00 degrees
With the nearest neighbours (Å) after each atom.
Atoms (fractional coordinates):
Ac 0.8338 0.7060 0.4456  1 N 2.66
Zn 0.5662 0.9013 0.2483  6 Ac 3.20-3.27
Ac 0.3142 0.8212 0.5518  1 N 2.70
Ac 0.1276 0.0271 0.2617  1 N 2.75
Ac 0.1662 0.2940 0.5544  1 N 2.66
Ac 0.3338 0.7940 0.9456  1 N 2.66
Ac 0.1858 0.3212 0.9482  1 N 2.70
Ac 0.6276 0.4729 0.7617  1 N 2.75
Ac 0.3724 0.5271 0.2383  1 N 2.75
N 0.0000 0.0000 0.5000  6 Ac 2.66-2.75
Ac 0.8142 0.6788 0.0518  1 N 2.70
Ac 0.6858 0.1788 0.4482  1 N 2.70
Zn 0.9338 0.4013 0.2517  6 Ac 3.20-3.27
Ac 0.8724 0.9729 0.7383  1 N 2.75
Zn 0.0662 0.5987 0.7483  6 Ac 3.20-3.27
N 0.5000 0.5000 0.0000  6 Ac 2.66-2.75
Ac 0.6662 0.2060 0.0544  1 N 2.66
Zn 0.4338 0.0987 0.7517  6 Ac 3.20-3.27

Calculated values
The calculation puts the formation energy (no corrections) at -2.838 eV per formula unit. The crystal system is monoclinic.

---

Te4Rh2Cl | PBE-GGA | relaxed

Cell lengths 8.5736, 8.5734, 7.2733 Å; angles 114.47, 114.46, 107.29 degrees
With the nearest neighbours (Å) after each atom.
Atoms (fractional coordinates):
Rh 0.1250 0.3750 0.7500  6 Te 2.66-2.72
Te 0.8207 0.6765 0.2433  3 Rh 2.66-2.72
Te 0.9266 0.5706 0.7434  3 Rh 2.66-2.72
Rh 0.6250 0.3750 0.7500  6 Te 2.66-2.72
Rh 0.6250 0.8750 0.2500  6 Te 2.66-2.72
Cl 0.0010 0.0010 0.0000  4 Te 3.06-3.07
Cl 0.2491 0.7491 0.5000  4 Te 3.06-3.07
Te 0.4331 0.5774 0.7567  3 Rh 2.66-2.72
Te 0.4227 0.5668 0.2434  3 Rh 2.66-2.72
Te 0.3234 0.1794 0.7567  3 Rh 2.66-2.72
Te 0.8168 0.1726 0.7433  3 Rh 2.66-2.72
Rh 0.6250 0.3750 0.2500  6 Te 2.66-2.72
Te 0.4293 0.0735 0.2567  3 Rh 2.66-2.72
Te 0.8272 0.1832 0.2566  3 Rh 2.66-2.72

Calculated values
The calculation puts the formation energy (no corrections) at -2.505 eV per formula unit. The crystal system is monoclinic.

---

BaCaHg2Cl8 | PBE-GGA | relaxed

Cell lengths 6.7048, 6.7048, 9.4419 Å; angles 90.00, 90.00, 120.00 degrees
With the nearest neighbours (Å) after each atom.
Atoms (fractional coordinates):
Cl 0.7131 0.6838 0.6937  1 Hg 2.53, 1 Ca 2.73
Cl 0.9707 0.2869 0.6937  1 Hg 2.53, 1 Ca 2.73
Cl 0.3333 0.6667 0.0102  1 Hg 2.52
Cl 0.3162 0.0293 0.6937  1 Hg 2.53, 1 Ca 2.73
Cl 0.0293 0.7131 0.3063  1 Hg 2.53, 1 Ca 2.73
Ca 0.0000 0.0000 0.5000  6 Cl 2.73
Cl 0.2869 0.3162 0.3063  1 Hg 2.53, 1 Ca 2.73
Cl 0.6667 0.3333 0.9898  1 Hg 2.52
Hg 0.3333 0.6667 0.7428  4 Cl 2.52-2.53
Cl 0.6838 0.9707 0.3063  1 Hg 2.53, 1 Ca 2.73
Ba 0.0000 0.0000 0.0000  12 Cl 3.53-3.87
Hg 0.6667 0.3333 0.2572  4 Cl 2.52-2.53

Calculated values
The calculation puts the formation energy (no corrections) at -17.126 eV per formula unit. The crystal system is trigonal.

---

Al2Cd2Rh | PBE-GGA | relaxed

Cell lengths 6.5060, 6.5060, 4.3908 Å; angles 90.00, 90.00, 90.00 degrees
With the nearest neighbours (Å) after each atom.
Atoms (fractional coordinates):
Cd 0.6674 0.8326 0.5000  6 Al 2.80-2.99, 1 Cd 3.08
Cd 0.3326 0.1674 0.5000  6 Al 2.80-2.99, 1 Cd 3.08
Al 0.1446 0.3554 0.0000  2 Rh 2.50, 1 Al 2.66, 2 Cd 2.80
Rh 0.0000 0.0000 0.0000  4 Al 2.50
Al 0.8554 0.6446 0.0000  2 Rh 2.50, 1 Al 2.66, 2 Cd 2.80
Al 0.6446 0.1446 0.0000  2 Rh 2.50, 1 Al 2.66, 2 Cd 2.80
Cd 0.8326 0.3326 0.5000  6 Al 2.80-2.99, 1 Cd 3.08
Cd 0.1674 0.6674 0.5000  6 Al 2.80-2.99, 1 Cd 3.08
Rh 0.5000 0.5000 0.0000  4 Al 2.50
Al 0.3554 0.8554 0.0000  2 Rh 2.50, 1 Al 2.66, 2 Cd 2.80

Calculated values
The energy relative to the lowest polymorph listed for this composition comes out at 0 meV/atom. Its formation energy from the elements is -0.241 eV/f.u. The crystal system is tetragonal.

---

CaTlCdCl5 | PBE-GGA | relaxed

Cell lengths 7.6638, 7.6638, 10.0238 Å; angles 103.54, 103.54, 106.56 degrees
With the nearest neighbours (Å) after each atom.
Atoms (fractional coordinates):
Ca 0.0000 0.0000 0.0000  6 Cl 2.69-2.80
Cl 0.3715 0.2540 0.0592  1 Cd 2.51, 1 Ca 2.78
Cl 0.7460 0.6285 0.4408  1 Cd 2.51, 1 Ca 2.78
Cl 0.2540 0.3715 0.5592  1 Cd 2.51, 1 Ca 2.78
Cl 0.3227 0.9109 0.6090  1 Cd 2.50, 1 Ca 2.80
Cl 0.9109 0.3227 0.1090  1 Cd 2.50, 1 Ca 2.80
Cl 0.9200 0.0800 0.7500  2 Ca 2.69
Cd 0.3193 0.6807 0.7500  4 Cl 2.50-2.51
Tl 0.3319 0.6681 0.2500  5 Cl 3.10-3.43
Tl 0.6681 0.3319 0.7500  5 Cl 3.10-3.43
Cl 0.6773 0.0891 0.3910  1 Cd 2.50, 1 Ca 2.80
Cl 0.0891 0.6773 0.8910  1 Cd 2.50, 1 Ca 2.80
Cl 0.6285 0.7460 0.9408  1 Cd 2.51, 1 Ca 2.78
Ca 0.0000 0.0000 0.5000  6 Cl 2.69-2.80
Cd 0.6807 0.3193 0.2500  4 Cl 2.50-2.51
Cl 0.0800 0.9200 0.2500  2 Ca 2.69

Calculated values
The calculation puts the formation energy (no corrections) at -12.466 eV per formula unit. The crystal system is monoclinic.

---

KCaNd2Se4 | PBE-GGA | relaxed

Cell lengths 4.2621, 7.5828, 7.4383 Å; angles 71.30, 90.00, 90.00 degrees
With the nearest neighbours (Å) after each atom.
Atoms (fractional coordinates):
Ca 0.5000 0.5000 0.0000  6 Se 3.05-3.07
Se 0.5000 0.7669 0.2354  3 Nd 2.96-3.04, 1 Ca 3.07, 2 K 3.16
K 0.0000 0.5000 0.5000  6 Se 3.13-3.16
Nd 0.5000 0.0000 0.5000  6 Se 3.04-3.06
Nd 0.0000 0.0000 0.0000  6 Se 2.96-2.98
Se 0.5000 0.2331 0.7646  3 Nd 2.96-3.04, 1 Ca 3.07, 2 K 3.16
Se 0.0000 0.2445 0.2433  3 Nd 2.98-3.06, 2 Ca 3.05, 1 K 3.13
Se 0.0000 0.7555 0.7567  3 Nd 2.98-3.06, 2 Ca 3.05, 1 K 3.13

Calculated values
The calculation puts the formation energy (no corrections) at -14.359 eV per formula unit. The crystal system is monoclinic.

---

Results for size of the total moment: 0.0, 0.0, 0.0, 0.0, 0.0, 0.0, 0.0, 0.0, 0.0, 0.0, 0.0, 0.0 (in Bohr magnetons per cell, following the order of the records).